Density functional theory data (PBE) for a relaxed structure of Nb3Cu2Ni8.

a b c (Å): 9.5505 9.5505 9.5505
angles (deg): 28.27 28.27 28.27
Sites, in units of the cell vectors:
Nb1 0.0000 0.0000 0.0000
Nb2 0.1878 0.1878 0.1878
Nb3 0.8122 0.8122 0.8122
Cu1 0.3615 0.3615 0.3615
Cu2 0.6385 0.6385 0.6385
Ni1 0.2313 0.7328 0.7329
Ni2 0.2671 0.2672 0.7687
Ni3 0.2671 0.7688 0.2671
Ni4 0.2780 0.2780 0.2780
Ni5 0.7220 0.7220 0.7220
Ni6 0.7329 0.2313 0.7329
Ni7 0.7329 0.7329 0.2313
Ni8 0.7687 0.2672 0.2672


Density functional theory data (PBE) for a relaxed structure of NbCuNi4.

a b c (Å): 6.1414 6.1414 6.1414
angles (deg): 119.26 119.26 91.29
Sites, in units of the cell vectors:
Nb1 0.3750 0.1250 0.2500
Nb2 0.6250 0.8750 0.7500
Cu1 0.1250 0.3750 0.7500
Cu2 0.8750 0.6250 0.2500
Ni1 0.0166 0.9893 0.7310
Ni2 0.2144 0.4834 0.4727
Ni3 0.2417 0.7144 0.2310
Ni4 0.4893 0.2583 0.9727
Ni5 0.5107 0.7417 0.0273
Ni6 0.7583 0.2856 0.7690
Ni7 0.7856 0.5166 0.5273
Ni8 0.9834 0.0107 0.2690


Density functional theory data (PBE) for a relaxed structure of NbCu4Ni12.

a b c (Å): 6.4635 6.4635 6.4635
angles (deg): 109.47 109.47 109.47
Sites, in units of the cell vectors:
Nb1 0.0000 0.0000 0.0000
Cu1 0.0000 0.0000 0.5000
Cu2 0.0000 0.5000 0.0000
Cu3 0.5000 0.0000 0.0000
Cu4 0.5000 0.5000 0.5000
Ni1 0.0000 0.3100 0.3100
Ni2 0.0000 0.6900 0.6900
Ni3 0.2500 0.5000 0.7500
Ni4 0.2500 0.7500 0.5000
Ni5 0.3100 0.0000 0.3100
Ni6 0.3100 0.3100 0.0000
Ni7 0.5000 0.2500 0.7500
Ni8 0.5000 0.7500 0.2500
Ni9 0.6900 0.0000 0.6900
Ni10 0.6900 0.6900 0.0000
Ni11 0.7500 0.2500 0.5000
Ni12 0.7500 0.5000 0.2500


Density functional theory data (PBE) for a relaxed structure of NbCu2Ni8.

a b c (Å): 6.0665 6.0665 3.8277
angles (deg): 90.00 90.00 105.58
Sites, in units of the cell vectors:
Nb1 0.0000 0.0000 0.0000
Cu1 0.3796 0.6204 0.5000
Cu2 0.6204 0.3796 0.5000
Ni1 0.0360 0.3065 0.5000
Ni2 0.2513 0.7487 0.0000
Ni3 0.3065 0.0360 0.5000
Ni4 0.3360 0.3360 0.0000
Ni5 0.6640 0.6640 0.0000
Ni6 0.6935 0.9640 0.5000
Ni7 0.7487 0.2513 0.0000
Ni8 0.9640 0.6935 0.5000


Density functional theory data (PBE) for a relaxed structure of Nb2CuNi6.

a b c (Å): 4.9375 4.9375 5.4229
angles (deg): 90.00 90.00 120.00
Sites, in units of the cell vectors:
Nb1 0.3333 0.6667 0.3636
Nb2 0.6667 0.3333 0.6364
Cu1 0.0000 0.0000 0.5000
Ni1 0.1748 0.3496 0.8275
Ni2 0.1748 0.8252 0.8275
Ni3 0.3496 0.1748 0.1725
Ni4 0.6504 0.8252 0.8275
Ni5 0.8252 0.1748 0.1725
Ni6 0.8252 0.6504 0.1725


Density functional theory data (PBE) for a relaxed structure of NbCu2Ni.

a b c (Å): 5.4263 5.4263 5.4263
angles (deg): 101.71 101.71 126.45
Sites, in units of the cell vectors:
Nb1 0.0000 0.0000 0.0000
Nb2 0.7500 0.2500 0.5000
Cu1 0.1541 0.6250 0.0291
Cu2 0.3750 0.4041 0.5291
Cu3 0.5959 0.1250 0.9709
Cu4 0.8750 0.8459 0.4709
Ni1 0.2500 0.7500 0.5000
Ni2 0.5000 0.5000 0.0000


The following density of states at the Fermi level values (in states/eV/atom) correspond, in order, to the records above: 0.979 0.800 1.407 1.331 0.810 1.309.
The following E_form values (in eV per formula unit) correspond, in order, to the records above: 0.6 2.1 3.7 1.4 -0.6 1.9.